This record from Alexandria describes AcPa2Se6 after structural relaxation. The functional is PBE.

## Properties
E_tot = -6.40 eV per atom
Excess energy over the best structure of this formula in the dataset = 0.000 kcal/mol of atoms

abc: 14.4871 11.5827 7.4837
angles: 90.00 115.36 90.00
Last column: nearest neighbours and their distance in Å.
Space group C2/c (No. 15)
Inequivalent atoms, fractional coordinates:
Ac 0.0000 0.1741 0.2500 (multiplicity 4)  8 Se 3.14-3.30
Pa 0.2362 0.4215 0.9181 (multiplicity 8)  6 Se 2.76-2.88
Se 0.1230 0.0463 0.6745 (multiplicity 8)  2 Pa 2.82-2.88
Se 0.1288 0.2637 0.0318 (multiplicity 8)  2 Pa 2.76-2.82
Se 0.1355 0.3933 0.5072 (multiplicity 8)  2 Pa 2.80-2.83